Below is a geometry-optimized Y2BiF structure, with properties calculated at the PBE-GGA level.

The structure belongs to space group Fm-3m (No. 225); the cell edges are 7.333, 7.333 and 7.333 Å and the angles 90.00°, 90.00° and 90.00°. The asymmetric unit holds Y at (0.250, 0.250, 0.250), Bi at (0.000, 0.000, 0.000) and F at (0.000, 0.000, 0.500).

The energy is -94.01 eV for the cell shown. For the uncorrected formation energy, the calculation gives -116.31 kJ per mole of atoms. The excess energy over the best structure of this formula in the dataset comes out at 360.2 meV/atom.